No. 1
DFT (PBE) results for Nd8OsRu2 after structural relaxation.

```
Nd8OsRu2
1.0
-0.658 -3.431 -3.554
6.607 1.014 -2.202
0.737 -4.827 8.017
Ru Nd Os
2 8 1
Cartesian
1.901 -5.501 1.464
4.785 -1.743 0.797
1.425 -7.653 3.630
2.722 -2.487 -1.598
4.414 -4.892 0.411
2.272 -2.353 1.850
5.261 0.409 -1.369
0.496 -4.315 4.074
3.964 -4.757 3.859
6.189 -2.929 -1.813
-0.329 -1.716 -1.777
```

Computed properties:
As for the space group: C2/m. For the calculated total energy, the calculation gives -68.870 eV per formula unit.

No. 2
DFT (PBE) results for Sc2Zn2Rh3 after structural relaxation.

```
Sc2Zn2Rh3
1.0
4.410 0.088 -0.736
-2.424 3.735 -0.462
0.373 -0.661 6.796
Rh Zn Sc
3 2 2
Cartesian
0.151 2.915 1.196
2.209 0.247 4.403
0.000 0.000 0.000
1.957 2.586 3.112
0.403 0.576 2.487
2.303 1.526 0.344
0.057 1.636 5.254
```

Computed properties:
As for the space group: P-1. For the calculated total energy, the calculation gives -42.211 eV per formula unit.

No. 3
DFT (PBE) results for CaPmP2S8 after structural relaxation.

```
CaPmP2S8
1.0
5.981 0.000 0.000
-2.991 5.180 0.000
0.000 0.000 9.283
Ca P S Pm
1 2 8 1
Cartesian
0.000 0.000 0.000
0.000 3.453 7.149
2.991 1.727 2.135
0.000 3.453 9.184
2.050 0.007 6.578
0.940 5.173 2.705
2.991 1.727 0.099
-1.959 3.408 2.705
4.950 1.772 6.578
1.019 1.779 2.705
1.972 3.401 6.578
0.000 0.000 4.642
```

Computed properties:
As for the space group: P-3. The calculation puts the uncorrected formation energy at -725 meV/atom.